Entry 1:
## RbAsSe2I (GGA-PBE)

Data for a relaxed RbAsSe2I crystal.

Values from the calculation:
Fermi-level density of states (states/eV per cell): 3.24
Formation energy from raw total energies (eV/atom): 0.284
E (eV per atom): -2.54

Lattice parameters (Å, degrees): 5.6070 5.6070 5.5906 90.00 90.00 90.00
Closest atoms and distances in Å follow each position.
Element x y z (fractional)
1 Rb 0.0000 0.0000 0.0000  8 Se 3.96, 4 As 3.96
2 As 0.5000 0.5000 0.0000  2 I 2.80
3 Se 0.0000 0.5000 0.5000  2 I 2.80
4 Se 0.5000 0.0000 0.5000  2 I 2.80
5 I 0.5000 0.5000 0.5000  2 As 2.80, 4 Se 2.80

=====

Entry 2:
## RbAs2SeI (GGA-PBE)

Data for a relaxed RbAs2SeI crystal.

Values from the calculation:
Fermi-level density of states (states/eV per cell): 14.92
Formation energy from raw total energies (eV/atom): 1.318
E (eV per atom): -1.74

Lattice parameters (Å, degrees): 6.7951 6.7951 6.3171 90.00 90.00 90.00
Closest atoms and distances in Å follow each position.
Element x y z (fractional)
1 Rb 0.0000 0.0000 0.0000  2 Se 3.16, 4 As 3.40
2 As 0.0000 0.5000 0.0000  2 Rb 3.40
3 As 0.5000 0.0000 0.0000  2 Rb 3.40
4 Se 0.0000 0.0000 0.5000  2 Rb 3.16
5 I 0.5000 0.5000 0.5000  8 As 4.64, 4 Se 4.80

=====

Entry 3:
## Rb2AsSeI6 (GGA-PBE)

Data for a relaxed Rb2AsSeI6 crystal.

Values from the calculation:
Fermi-level density of states (states/eV per cell): 4.18
Formation energy from raw total energies (eV/atom): -0.586
E (eV per atom): -2.52

Lattice parameters (Å, degrees): 8.3366 8.3366 8.3366 119.56 119.56 90.76
Closest atoms and distances in Å follow each position.
Element x y z (fractional)
1 Rb 0.2500 0.7500 0.5000  12 I 4.17-4.20
2 Rb 0.7500 0.2500 0.5000  12 I 4.17-4.20
3 As 0.0000 0.0000 0.0000  6 I 2.89-2.90
4 Se 0.5000 0.5000 0.0000  6 I 2.96-3.04
5 I 0.2440 0.2440 0.4880  1 As 2.90, 1 Se 3.04
6 I 0.2440 0.7560 0.0000  1 As 2.90, 1 Se 3.04
7 I 0.2471 0.2471 0.0000  1 As 2.89, 1 Se 2.96
8 I 0.7529 0.7529 0.0000  1 As 2.89, 1 Se 2.96
9 I 0.7560 0.2440 0.0000  1 As 2.90, 1 Se 3.04
10 I 0.7560 0.7560 0.5120  1 As 2.90, 1 Se 3.04

=====

Entry 4:
## RbAsSeI2 (GGA-PBE)

Data for a relaxed RbAsSeI2 crystal.

Values from the calculation:
Fermi-level density of states (states/eV per cell): 0.63
Formation energy from raw total energies (eV/atom): -0.489
E (eV per atom): -2.93

Lattice parameters (Å, degrees): 5.9900 5.9900 5.1112 90.00 90.00 90.00
Closest atoms and distances in Å follow each position.
Element x y z (fractional)
1 Rb 0.0000 0.0000 0.0000  8 I 3.94, 4 Se 4.24
2 As 0.5000 0.5000 0.5000  2 Se 2.56
3 Se 0.5000 0.5000 0.0000  2 As 2.56
4 I 0.0000 0.5000 0.5000  2 As 3.00
5 I 0.5000 0.0000 0.5000  2 As 3.00

=====

Entry 5:
## RbAs2SeI (GGA-PBE)

Data for a relaxed RbAs2SeI crystal.

Values from the calculation:
Fermi-level density of states (states/eV per cell): 4.72
Formation energy from raw total energies (eV/atom): 0.515
E (eV per atom): -2.54

Lattice parameters (Å, degrees): 5.5945 5.5945 5.6923 90.00 90.00 90.00
Closest atoms and distances in Å follow each position.
Element x y z (fractional)
1 Rb 0.0000 0.0000 0.0000  4 Se 3.96, 8 As 3.99
2 As 0.0000 0.5000 0.5000  2 I 2.80
3 As 0.5000 0.0000 0.5000  2 I 2.80
4 Se 0.5000 0.5000 0.0000  2 I 2.85
5 I 0.5000 0.5000 0.5000  4 As 2.80, 2 Se 2.85

=====

Entry 6:
## Rb2SiAsI6 (GGA-PBE)

Data for a relaxed Rb2SiAsI6 crystal.

Values from the calculation:
Fermi-level density of states (states/eV per cell): 4.36
Formation energy from raw total energies (eV/atom): -0.602
E (eV per atom): -2.73

Lattice parameters (Å, degrees): 8.2642 8.2642 8.2642 119.92 119.92 90.14
Closest atoms and distances in Å follow each position.
Element x y z (fractional)
1 Rb 0.2500 0.7500 0.5000  12 I 4.13-4.14
2 Rb 0.7500 0.2500 0.5000  12 I 4.13-4.14
3 Si 0.0000 0.0000 0.0000  6 I 2.89
4 As 0.5000 0.5000 0.0000  6 I 2.94-2.96
5 I 0.2468 0.2468 0.4936  1 Si 2.89, 1 As 2.96
6 I 0.2468 0.7532 0.0000  1 Si 2.89, 1 As 2.96
7 I 0.2479 0.2479 0.0000  1 Si 2.89, 1 As 2.94
8 I 0.7521 0.7521 0.0000  1 Si 2.89, 1 As 2.94
9 I 0.7532 0.2468 0.0000  1 Si 2.89, 1 As 2.96
10 I 0.7532 0.7532 0.5064  1 Si 2.89, 1 As 2.96

=====

Entry 7:
## RbSn2AsI8 (GGA-PBE)

Data for a relaxed RbSn2AsI8 crystal.

Values from the calculation:
Formation energy from raw total energies (eV/atom): -0.494
E (eV per atom): -2.66

Lattice parameters (Å, degrees): 7.6739 7.7807 9.9689 79.81 83.70 81.99
Closest atoms and distances in Å follow each position.
Element x y z (fractional)
1 Rb 0.0000 0.0000 0.0000  6 I 3.61-3.83
2 Sn 0.4598 0.4453 0.2470  4 I 2.95-3.24
3 Sn 0.5402 0.5547 0.7530  4 I 2.95-3.24
4 As 0.0000 0.0000 0.5000  6 I 2.90-2.92
5 I 0.1550 0.7492 0.7218  1 As 2.92, 1 Sn 3.15
6 I 0.2112 0.8011 0.3062  1 As 2.90, 1 Sn 3.24
7 I 0.2816 0.2178 0.4912  1 As 2.91, 1 Sn 3.06
8 I 0.3592 0.2877 0.0224  1 Sn 2.95
9 I 0.6408 0.7123 0.9776  1 Sn 2.95
10 I 0.7184 0.7822 0.5088  1 As 2.91, 1 Sn 3.06
11 I 0.7888 0.1989 0.6938  1 As 2.90, 1 Sn 3.24
12 I 0.8450 0.2508 0.2782  1 As 2.92, 1 Sn 3.15

=====

Entry 8:
## RbSrAsI6 (GGA-PBE)

Data for a relaxed RbSrAsI6 crystal.

Values from the calculation:
Fermi-level density of states (states/eV per cell): 0.00
Formation energy from raw total energies (eV/atom): -0.955
E (eV per atom): -2.80

Lattice parameters (Å, degrees): 8.1029 8.1029 7.9711 90.00 90.00 120.00
Closest atoms and distances in Å follow each position.
Element x y z (fractional)
1 Rb 0.0000 0.0000 0.0000  6 I 3.75
2 Sr 0.3333 0.6667 0.5000  6 I 3.29
3 As 0.6667 0.3333 0.5000  6 I 2.91
4 I 0.3860 0.0361 0.7161  1 As 2.91
5 I 0.3860 0.3499 0.2839  1 As 2.91
6 I 0.6501 0.0361 0.2839  1 As 2.91
7 I 0.6501 0.6140 0.7161  1 As 2.91
8 I 0.9639 0.3499 0.7161  1 As 2.91
9 I 0.9639 0.6140 0.2839  1 As 2.91

=====

Entry 9:
## RbSr2AsI (GGA-PBE)

Data for a relaxed RbSr2AsI crystal.

Values from the calculation:
Fermi-level density of states (states/eV per cell): 1.93
Formation energy from raw total energies (eV/atom): -0.832
E (eV per atom): -2.94

Lattice parameters (Å, degrees): 5.9643 5.9643 6.9954 90.00 90.00 90.00
Closest atoms and distances in Å follow each position.
Element x y z (fractional)
1 Rb 0.0000 0.0000 0.0000  2 As 3.50
2 Sr 0.0000 0.5000 0.5000  2 As 2.98
3 Sr 0.5000 0.0000 0.5000  2 As 2.98
4 As 0.0000 0.0000 0.5000  4 Sr 2.98
5 I 0.5000 0.5000 0.0000  4 Rb 4.22, 8 Sr 4.60

=====

Entry 10:
## Rb2TaAsI6 (GGA-PBE)

Data for a relaxed Rb2TaAsI6 crystal.

Values from the calculation:
Fermi-level density of states (states/eV per cell): 11.89
Formation energy from raw total energies (eV/atom): -0.463
E (eV per atom): -3.24

Lattice parameters (Å, degrees): 8.3985 8.3985 8.3985 116.73 116.73 95.77
Closest atoms and distances in Å follow each position.
Element x y z (fractional)
1 Rb 0.2500 0.7500 0.5000  12 I 4.21-4.41
2 Rb 0.7500 0.2500 0.5000  12 I 4.21-4.41
3 Ta 0.0000 0.0000 0.0000  6 I 2.81-2.84
4 As 0.5000 0.5000 0.0000  2 I 2.82
5 I 0.2283 0.2283 0.4567  1 Ta 2.84
6 I 0.2283 0.7717 0.0000  1 Ta 2.84
7 I 0.2497 0.2497 0.0000  1 Ta 2.81, 1 As 2.82
8 I 0.7503 0.7503 0.0000  1 Ta 2.81, 1 As 2.82
9 I 0.7717 0.2283 0.0000  1 Ta 2.84
10 I 0.7717 0.7717 0.5433  1 Ta 2.84

=====

Entry 11:
## Rb2TcAsI6 (GGA-PBE)

Data for a relaxed Rb2TcAsI6 crystal.

Values from the calculation:
Fermi-level density of states (states/eV per cell): 4.64
Formation energy from raw total energies (eV/atom): -0.450
E (eV per atom): -3.08

Lattice parameters (Å, degrees): 8.3014 8.3014 8.3014 120.25 120.25 89.56
Closest atoms and distances in Å follow each position.
Element x y z (fractional)
1 Rb 0.2500 0.7500 0.5000  12 I 4.14-4.15
2 Rb 0.7500 0.2500 0.5000  12 I 4.14-4.15
3 Tc 0.0000 0.0000 0.0000  6 I 2.86
4 As 0.5000 0.5000 0.0000  6 I 2.99-3.03
5 I 0.2428 0.2428 0.0000  1 Tc 2.86, 1 As 3.03
6 I 0.2442 0.2442 0.4884  1 Tc 2.86, 1 As 2.99
7 I 0.2442 0.7558 0.0000  1 Tc 2.86, 1 As 2.99
8 I 0.7558 0.2442 0.0000  1 Tc 2.86, 1 As 2.99
9 I 0.7558 0.7558 0.5117  1 Tc 2.86, 1 As 2.99
10 I 0.7572 0.7572 0.0000  1 Tc 2.86, 1 As 3.03

=====

Entry 12:
## RbTe2AsI (GGA-PBE)

Data for a relaxed RbTe2AsI crystal.

Values from the calculation:
Fermi-level density of states (states/eV per cell): 14.05
Formation energy from raw total energies (eV/atom): 1.132
E (eV per atom): -1.56

Lattice parameters (Å, degrees): 6.6456 6.6456 6.5107 90.00 90.00 90.00
Closest atoms and distances in Å follow each position.
Element x y z (fractional)
1 Rb 0.0000 0.0000 0.0000  2 I 3.26, 4 Te 3.32
2 Te 0.0000 0.5000 0.0000  2 Rb 3.32
3 Te 0.5000 0.0000 0.0000  2 Rb 3.32
4 As 0.5000 0.5000 0.5000  8 Te 4.65, 4 I 4.70
5 I 0.0000 0.0000 0.5000  2 Rb 3.26

=====

Entry 13:
## RbTe2AsI (GGA-PBE)

Data for a relaxed RbTe2AsI crystal.

Values from the calculation:
Fermi-level density of states (states/eV per cell): 6.00
Formation energy from raw total energies (eV/atom): -0.244
E (eV per atom): -2.93

Lattice parameters (Å, degrees): 5.5773 5.5773 6.0889 90.00 90.00 90.00
Closest atoms and distances in Å follow each position.
Element x y z (fractional)
1 Rb 0.0000 0.0000 0.0000  4 I 3.94, 8 Te 4.13
2 Te 0.0000 0.5000 0.5000  2 As 2.79
3 Te 0.5000 0.0000 0.5000  2 As 2.79
4 As 0.5000 0.5000 0.5000  4 Te 2.79, 2 I 3.04
5 I 0.5000 0.5000 0.0000  2 As 3.04

=====

Number 1: density 4.21 g/cm³. Number 2: density 2.51 g/cm³. Number 3: density 4.37 g/cm³. Number 4: density 4.47 g/cm³. Number 5: density 4.11 g/cm³. Number 6: density 4.30 g/cm³. Number 7: density 4.06 g/cm³. Number 8: density 3.70 g/cm³. Number 9: density 3.09 g/cm³. Number 10: density 4.51 g/cm³. Number 11: density 4.55 g/cm³. Number 12: density 3.13 g/cm³. Number 13: density 4.76 g/cm³.